Entry 1:
{"formula": "TcRu2W", "functional": "PBE", "state": "relaxed", "e_form_mev_per_atom": 110, "final_energy_ev_per_atom": -10.3575, "spacegroup": "R-3m", "cell": [[-7.993, 4.359, 0.964], [-8.762, 2.500, -0.901], [-8.789, 1.859, 1.767]], "species": ["Ru", "Ru", "Tc", "W"], "frac_coords": [[0.999, 0.999, 0.999], [0.501, 0.501, 0.501], [0.250, 0.250, 0.250], [0.750, 0.750, 0.750]]}



Entry 2:
{"formula": "Tc2RuW", "functional": "PBE", "state": "relaxed", "e_form_mev_per_atom": 209, "final_energy_ev_per_atom": -10.5312, "spacegroup": "Immm", "cell": [[5.177, -0.001, 0.004], [2.377, 4.599, -0.004], [-3.314, -3.061, 2.541]], "species": ["Ru", "Tc", "Tc", "W"], "frac_coords": [[0.750, 0.250, 0.500], [0.019, 0.019, 0.000], [0.481, 0.481, 0.000], [0.250, 0.750, 0.500]]}



Entry 3:
{"formula": "Tc2RuW", "functional": "PBE", "state": "relaxed", "e_form_mev_per_atom": 122, "final_energy_ev_per_atom": -10.6183, "spacegroup": "R3m", "cell": [[9.223, 0.008, 0.004], [8.811, 2.729, 0.004], [8.811, 1.337, 2.379]], "species": ["Ru", "Tc", "Tc", "W"], "frac_coords": [[0.750, 0.750, 0.750], [0.999, 0.999, 0.999], [0.253, 0.253, 0.253], [0.498, 0.498, 0.498]]}



Entry 4:
{"formula": "Tc2RuW", "functional": "PBE", "state": "relaxed", "e_form_mev_per_atom": 84, "final_energy_ev_per_atom": -10.6561, "spacegroup": "Pmm2", "cell": [[2.765, 0.000, 0.000], [0.000, 3.881, 0.000], [0.000, 0.000, 5.537]], "species": ["Ru", "Tc", "Tc", "W"], "frac_coords": [[0.500, 0.500, 0.752], [0.000, 0.000, 0.003], [0.500, 0.500, 0.241], [0.000, 0.000, 0.503]]}



Entry 5:
{"formula": "TcRuW2", "functional": "PBE", "state": "relaxed", "e_form_mev_per_atom": 167, "final_energy_ev_per_atom": -11.2203, "spacegroup": "Cmmm", "cell": [[2.739, 0.000, 0.000], [-0.939, 2.573, 0.000], [0.000, 0.000, 8.694]], "species": ["Ru", "Tc", "W", "W"], "frac_coords": [[0.500, 0.500, 0.250], [0.500, 0.500, 0.750], [0.000, 0.000, 0.002], [0.000, 0.000, 0.498]]}



Entry 6:
{"formula": "TcRuW2", "functional": "PBE", "state": "relaxed", "e_form_mev_per_atom": 245, "final_energy_ev_per_atom": -11.1420, "spacegroup": "R3m", "cell": [[9.376, 0.003, 0.002], [8.966, 2.745, 0.002], [8.966, 1.343, 2.394]], "species": ["Ru", "Tc", "W", "W"], "frac_coords": [[0.499, 0.499, 0.499], [0.753, 0.753, 0.753], [0.002, 0.002, 0.002], [0.246, 0.246, 0.246]]}



Entry 7:
{"formula": "TcRuW", "functional": "PBE", "state": "relaxed", "e_form_mev_per_atom": 626, "final_energy_ev_per_atom": -10.2390, "spacegroup": "F-43m", "cell": [[4.208, 0.000, 0.000], [2.104, 3.644, 0.000], [2.104, 1.215, 3.436]], "species": ["Ru", "Tc", "W"], "frac_coords": [[0.000, 0.000, 0.000], [0.500, 0.500, 0.500], [0.750, 0.750, 0.750]]}



Entry 8:
{"formula": "TcRu2W", "functional": "PBE", "state": "relaxed", "e_form_mev_per_atom": 23, "final_energy_ev_per_atom": -10.4452, "spacegroup": "Amm2", "cell": [[-1.585, 1.919, -1.410], [-3.469, -0.784, 2.831], [1.765, 3.328, 2.544]], "species": ["Tc", "Ru", "Ru", "W"], "frac_coords": [[0.500, 0.421, 0.421], [0.000, 0.915, 0.335], [0.000, 0.335, 0.915], [0.500, 0.828, 0.828]]}



Entry 9:
{"formula": "TcRuW2", "functional": "PBE", "state": "relaxed", "e_form_mev_per_atom": 130, "final_energy_ev_per_atom": -11.2571, "spacegroup": "I4/mmm", "cell": [[4.768, -0.024, 0.000], [1.459, 4.540, 0.000], [-3.113, -2.258, 2.819]], "species": ["Ru", "Tc", "W", "W"], "frac_coords": [[0.250, 0.750, 0.500], [0.750, 0.250, 0.500], [0.000, 0.000, 0.000], [0.500, 0.500, 0.000]]}



Entry 10:
{"formula": "TcRu2W", "functional": "PBE", "state": "relaxed", "e_form_mev_per_atom": 14, "final_energy_ev_per_atom": -10.4532, "spacegroup": "P4/mmm", "cell": [[3.893, 0.000, 0.000], [0.000, 3.893, 0.000], [0.000, 0.000, 3.861]], "species": ["Ru", "Ru", "Tc", "W"], "frac_coords": [[0.000, 0.000, 0.000], [0.500, 0.500, 0.000], [0.500, 0.000, 0.500], [0.000, 0.500, 0.500]]}



Entry 11:
{"formula": "Tc2Ru2W", "functional": "PBE", "state": "relaxed", "e_form_mev_per_atom": 232, "final_energy_ev_per_atom": -10.2150, "spacegroup": "P4/mbm", "cell": [[-3.046, 0.390, 6.698], [6.514, -1.588, 3.055], [0.605, 2.709, 0.118]], "species": ["Ru", "Ru", "Ru", "Ru", "Tc", "Tc", "Tc", "Tc", "W", "W"], "frac_coords": [[0.375, 0.875, 0.000], [0.875, 0.625, 0.000], [0.625, 0.125, 0.000], [0.125, 0.375, 0.000], [0.172, 0.672, 0.500], [0.672, 0.828, 0.500], [0.828, 0.328, 0.500], [0.328, 0.172, 0.500], [0.000, 0.000, 0.000], [0.500, 0.500, 0.000]]}



Entry 12:
{"formula": "Tc2Ru5W2", "functional": "PBE", "state": "relaxed", "e_form_mev_per_atom": 44, "final_energy_ev_per_atom": -10.2913, "spacegroup": "C2/m", "cell": [[-0.092, 2.353, 3.077], [2.351, -1.664, 3.782], [7.463, 3.514, -0.024]], "species": ["Tc", "Tc", "Ru", "Ru", "Ru", "Ru", "Ru", "W", "W"], "frac_coords": [[0.332, 0.784, 0.552], [0.668, 0.216, 0.448], [0.327, 0.120, 0.226], [0.673, 0.880, 0.774], [0.996, 0.676, 0.332], [0.004, 0.324, 0.668], [0.000, 0.000, 0.000], [0.346, 0.426, 0.881], [0.654, 0.574, 0.119]]}